Entry 1:
Here is an optimized crystal structure of NbOsRuRh from Alexandria via LeMat-Bulk. Energies are from PBE-GGA.

a = 3.890 Å, b = 3.894 Å, c = 3.956 Å
α = 90.00°, β = 90.00°, γ = 90.00°
Positions (direct):
Nb: 0.000 0.000 0.000
Os: 0.000 0.500 0.500
Ru: 0.500 0.000 0.500
Rh: 0.500 0.500 0.000

Properties
The formation energy is -0.236 eV per atom. For the total magnetic moment, the calculation gives 0.00 μB/atom.

Entry 2:
Here is an optimized crystal structure of Tc3GeAu from Alexandria via LeMat-Bulk. Energies are from PBE-GGA.

a = 4.916 Å, b = 4.916 Å, c = 4.916 Å
α = 90.00°, β = 90.00°, γ = 90.00°
Positions (direct):
Tc: 0.000 0.000 0.500
Tc: 0.000 0.500 0.000
Tc: 0.500 0.000 0.000
Ge: 0.500 0.500 0.500
Au: 0.000 0.000 0.000

Properties
As for the excess energy over the best structure of this formula in the dataset: 0.912 eV per atom. The formation energy is 2.245 eV per atom. For the total magnetic moment, the calculation gives 1.46 μB/atom.

Entry 3:
Here is an optimized crystal structure of BaNdBiI from Alexandria via LeMat-Bulk. Energies are from PBE-GGA.

a = 16.212 Å, b = 16.212 Å, c = 16.212 Å
α = 18.47°, β = 18.47°, γ = 18.47°
Positions (direct):
Ba: 0.094 0.094 0.094
Ba: 0.906 0.906 0.906
Nd: 0.310 0.310 0.310
Nd: 0.690 0.690 0.690
Bi: 0.381 0.381 0.381
Bi: 0.619 0.619 0.619
I: 0.204 0.204 0.204
I: 0.796 0.796 0.796

Properties
For the total magnetic moment, the calculation gives 0.20 μB/atom. For the uncorrected formation energy, the calculation gives -1070.7 meV per atom.

Entry 4:
Here is an optimized crystal structure of PrPbS2 from Alexandria via LeMat-Bulk. Energies are from PBE-GGA.

a = 7.154 Å, b = 4.171 Å, c = 8.333 Å
α = 90.00°, β = 97.43°, γ = 90.00°
Positions (direct):
Pr: 0.000 0.000 0.000
Pr: 0.500 0.500 0.000
Pb: 0.240 0.000 0.477
Pb: 0.760 0.000 0.523
S: 0.195 0.500 0.195
S: 0.307 0.000 0.818
S: 0.693 0.000 0.182
S: 0.805 0.500 0.805

Properties
For the total magnetic moment, the calculation gives 0.00 μB/atom. For the uncorrected formation energy, the calculation gives -1252.1 meV per atom.

Entry 5:
Here is an optimized crystal structure of TlGa2FeGe from Alexandria via LeMat-Bulk. Energies are from PBE-GGA.

a = 4.739 Å, b = 4.739 Å, c = 4.555 Å
α = 90.00°, β = 90.00°, γ = 90.00°
Positions (direct):
Tl: 0.000 0.000 0.000
Ga: 0.000 0.500 0.500
Ga: 0.500 0.000 0.500
Fe: 0.500 0.500 0.500
Ge: 0.500 0.500 0.000

Properties
The formation energy is 0.033 eV per atom. For the total magnetic moment, the calculation gives 0.20 μB/atom.

Entry 6:
Here is an optimized crystal structure of TbCeB4 from Alexandria via LeMat-Bulk. Energies are from PBE-GGA.

a = 4.808 Å, b = 4.808 Å, c = 4.808 Å
α = 60.00°, β = 60.00°, γ = 60.00°
Positions (direct):
Tb: 0.000 0.000 0.000
Ce: 0.750 0.750 0.750
B: 0.408 0.408 0.408
B: 0.408 0.408 0.775
B: 0.408 0.775 0.408
B: 0.775 0.408 0.408

Properties
The formation energy is 0.270 eV per atom. For the total magnetic moment, the calculation gives 0.00 μB/atom.